Computed, not measured: a geometry-optimized Ce4Bi3Br4 structure at the PBE level of DFT.

a = 10.454 Å, b = 10.454 Å, c = 10.454 Å
α = 147.12°, β = 123.19°, γ = 67.22°
Fractional positions:
Ce (0.174, 0.174, 0.000)
Ce (0.178, 0.500, 0.678)
Ce (0.822, 0.500, 0.322)
Ce (0.826, 0.826, 0.000)
Bi (0.000, 0.000, 0.000)
Bi (0.154, 0.654, 0.500)
Bi (0.846, 0.346, 0.500)
Br (0.157, 0.868, 0.289)
Br (0.422, 0.132, 0.289)
Br (0.578, 0.868, 0.711)
Br (0.843, 0.132, 0.711)

volume = 46.6 Å³/atom
total magnetization = 1.1 μB per cell
space-group type = Immm
electronic total energy = -4.54 eV per atom
energy relative to the elements, uncorrected = -0.719 eV per atom

Computed, not measured: a geometry-optimized Ce2BiBr structure at the PBE level of DFT.

a = 8.387 Å, b = 8.387 Å, c = 8.387 Å
α = 29.53°, β = 29.53°, γ = 29.53°
Fractional positions:
Ce (0.000, 0.000, 0.000)
Ce (0.168, 0.168, 0.168)
Bi (0.583, 0.583, 0.583)
Br (0.752, 0.752, 0.752)

volume = 31.7 Å³/atom
total magnetization = 2.8 μB per cell
space-group type = R3m
electronic total energy = -5.20 eV per atom
energy relative to the elements, uncorrected = -0.849 eV per atom

Computed, not measured: a geometry-optimized Ce7BiBr12 structure at the PBE level of DFT.

a = 9.646 Å, b = 9.646 Å, c = 9.646 Å
α = 108.93°, β = 108.93°, γ = 108.93°
Fractional positions:
Ce (0.000, 0.000, 0.000)
Ce (0.131, 0.432, 0.356)
Ce (0.356, 0.131, 0.432)
Ce (0.432, 0.356, 0.131)
Ce (0.568, 0.644, 0.869)
Ce (0.644, 0.869, 0.568)
Ce (0.869, 0.568, 0.644)
Bi (0.500, 0.500, 0.500)
Br (0.012, 0.095, 0.340)
Br (0.095, 0.340, 0.012)
Br (0.201, 0.570, 0.721)
Br (0.279, 0.799, 0.430)
Br (0.340, 0.012, 0.095)
Br (0.430, 0.279, 0.799)
Br (0.570, 0.721, 0.201)
Br (0.660, 0.988, 0.905)
Br (0.721, 0.201, 0.570)
Br (0.799, 0.430, 0.279)
Br (0.905, 0.660, 0.988)
Br (0.988, 0.905, 0.660)

volume = 35.2 Å³/atom
total magnetization = 11.1 μB per cell
space-group type = R-3
electronic total energy = -4.79 eV per atom
energy relative to the elements, uncorrected = -1.512 eV per atom

Computed, not measured: a geometry-optimized Ce3BiBr3 structure at the PBE level of DFT.

a = 11.527 Å, b = 11.527 Å, c = 11.527 Å
α = 37.77°, β = 37.77°, γ = 37.77°
Fractional positions:
Ce (0.057, 0.359, 0.756)
Ce (0.244, 0.943, 0.641)
Ce (0.359, 0.756, 0.057)
Ce (0.641, 0.244, 0.943)
Ce (0.756, 0.057, 0.359)
Ce (0.943, 0.641, 0.244)
Bi (0.333, 0.333, 0.333)
Bi (0.667, 0.667, 0.667)
Br (0.111, 0.756, 0.468)
Br (0.244, 0.532, 0.889)
Br (0.468, 0.111, 0.756)
Br (0.532, 0.889, 0.244)
Br (0.756, 0.468, 0.111)
Br (0.889, 0.244, 0.532)

volume = 36.8 Å³/atom
total magnetization = 9.7 μB per cell
space-group type = R-3
electronic total energy = -4.99 eV per atom
energy relative to the elements, uncorrected = -1.173 eV per atom

Computed, not measured: a geometry-optimized Ce2BiBr structure at the PBE level of DFT.

a = 3.879 Å, b = 3.879 Å, c = 7.745 Å
α = 90.00°, β = 90.00°, γ = 90.00°
Fractional positions:
Ce (0.000, 0.000, 0.242)
Ce (0.000, 0.000, 0.758)
Bi (0.500, 0.500, 0.000)
Br (0.500, 0.500, 0.500)

volume = 29.1 Å³/atom
total magnetization = 3.6 μB per cell
space-group type = P4/mmm
electronic total energy = -5.17 eV per atom
energy relative to the elements, uncorrected = -0.820 eV per atom

Computed, not measured: a geometry-optimized CeBiBr structure at the PBE level of DFT.

a = 4.556 Å, b = 4.556 Å, c = 9.075 Å
α = 90.00°, β = 90.00°, γ = 90.00°
Fractional positions:
Ce (0.250, 0.250, 0.227)
Ce (0.750, 0.750, 0.773)
Bi (0.250, 0.750, 0.500)
Bi (0.750, 0.250, 0.500)
Br (0.250, 0.250, 0.877)
Br (0.750, 0.750, 0.123)

volume = 31.4 Å³/atom
total magnetization = 2.8 μB per cell
space-group type = P4/nmm
electronic total energy = -4.82 eV per atom
energy relative to the elements, uncorrected = -0.993 eV per atom

Computed, not measured: a geometry-optimized Ce2BiBr3 structure at the PBE level of DFT.

a = 8.765 Å, b = 8.765 Å, c = 11.851 Å
α = 109.67°, β = 109.67°, γ = 29.81°
Fractional positions:
Ce (0.019, 0.019, 0.182)
Ce (0.261, 0.261, 0.153)
Ce (0.739, 0.739, 0.847)
Ce (0.981, 0.981, 0.818)
Bi (0.386, 0.386, 0.979)
Bi (0.614, 0.614, 0.021)
Br (0.133, 0.133, 0.720)
Br (0.201, 0.201, 0.345)
Br (0.461, 0.461, 0.653)
Br (0.539, 0.539, 0.347)
Br (0.799, 0.799, 0.655)
Br (0.867, 0.867, 0.280)

volume = 35.4 Å³/atom
total magnetization = 4.0 μB per cell
space-group type = C2/m
electronic total energy = -4.85 eV per atom
energy relative to the elements, uncorrected = -1.388 eV per atom

Computed, not measured: a geometry-optimized Ce2BiBr2 structure at the PBE level of DFT.

a = 11.068 Å, b = 11.068 Å, c = 11.068 Å
α = 23.17°, β = 23.17°, γ = 23.17°
Fractional positions:
Ce (0.107, 0.107, 0.107)
Ce (0.893, 0.893, 0.893)
Bi (0.500, 0.500, 0.500)
Br (0.279, 0.279, 0.279)
Br (0.721, 0.721, 0.721)

volume = 36.8 Å³/atom
total magnetization = 2.6 μB per cell
space-group type = R-3m
electronic total energy = -5.11 eV per atom
energy relative to the elements, uncorrected = -1.296 eV per atom

Computed, not measured: a geometry-optimized Ce2BiBr structure at the PBE level of DFT.

a = 5.478 Å, b = 5.478 Å, c = 5.478 Å
α = 60.00°, β = 60.00°, γ = 60.00°
Fractional positions:
Ce (0.250, 0.250, 0.250)
Ce (0.750, 0.750, 0.750)
Bi (0.000, 0.000, 0.000)
Br (0.500, 0.500, 0.500)

volume = 29.1 Å³/atom
total magnetization = 3.6 μB per cell
space-group type = Fm-3m
electronic total energy = -5.22 eV per atom
energy relative to the elements, uncorrected = -0.868 eV per atom

Computed, not measured: a geometry-optimized CeBiBr structure at the PBE level of DFT.

a = 6.329 Å, b = 6.329 Å, c = 8.233 Å
α = 112.34°, β = 112.34°, γ = 40.97°
Fractional positions:
Ce (0.174, 0.174, 0.205)
Ce (0.826, 0.826, 0.795)
Bi (0.448, 0.448, 0.139)
Bi (0.552, 0.552, 0.861)
Br (0.161, 0.161, 0.577)
Br (0.839, 0.839, 0.423)

volume = 32.9 Å³/atom
total magnetization = 2.1 μB per cell
space-group type = C2/m
electronic total energy = -4.90 eV per atom
energy relative to the elements, uncorrected = -1.073 eV per atom

Computed, not measured: a geometry-optimized CeBiBr structure at the PBE level of DFT.

a = 5.099 Å, b = 5.099 Å, c = 4.010 Å
α = 90.00°, β = 90.00°, γ = 120.00°
Fractional positions:
Ce (0.000, 0.000, 0.000)
Bi (0.667, 0.333, 0.500)
Br (0.333, 0.667, 0.000)

volume = 30.1 Å³/atom
total magnetization = 0.5 μB per cell
space-group type = P-6m2
electronic total energy = -4.67 eV per atom
energy relative to the elements, uncorrected = -0.837 eV per atom

Computed, not measured: a geometry-optimized Ce2BiBr structure at the PBE level of DFT.

a = 7.395 Å, b = 7.395 Å, c = 7.395 Å
α = 35.54°, β = 35.54°, γ = 35.54°
Fractional positions:
Ce (0.243, 0.243, 0.243)
Ce (0.757, 0.757, 0.757)
Bi (0.000, 0.000, 0.000)
Br (0.500, 0.500, 0.500)

volume = 30.5 Å³/atom
total magnetization = 2.3 μB per cell
space-group type = R-3m
electronic total energy = -5.30 eV per atom
energy relative to the elements, uncorrected = -0.948 eV per atom